This record from Alexandria describes crystalline Pu4BeGe8 at its relaxed geometry. The functional is GGA-PBE.

a b c (Å): 3.973 4.175 15.243
angles (deg): 90.00 90.00 90.00
Fractional positions:
Pu 0.000 0.000 0.000
Pu 0.000 0.500 0.492
Pu 0.500 0.000 0.794
Pu 0.500 0.500 0.293
Be 0.000 0.500 0.711
Ge 0.000 0.000 0.339
Ge 0.000 0.000 0.633
Ge 0.000 0.500 0.140
Ge 0.000 0.500 0.860
Ge 0.500 0.000 0.144
Ge 0.500 0.000 0.453
Ge 0.500 0.500 0.633
Ge 0.500 0.500 0.972

Output
space-group type: No. 25
calculated formation energy: -40 meV per atom
calculated density: 10286 kg/m³